No. 1
5
Lattice="-2.250 2.250 5.493 2.250 -2.250 5.493 2.250 2.250 -5.493" Properties=species:S:1:pos:R:3 comment="PrSn2Ir2 (GGA-PBE, relaxed)" crystal_system=tetragonal e_tot_ev_per_atom=-6.603 magnetic_moment_mub_per_cell=0.01 pbc="T T T"
Pr 0.000 0.000 0.000
Sn 2.250 0.000 2.746
Sn 0.000 2.250 2.746
Ir 0.000 0.000 4.235
Ir 0.000 0.000 6.751


No. 2
10
Lattice="5.695 -2.301 0.000 5.695 2.301 0.000 -5.014 0.000 10.087" Properties=species:S:1:pos:R:3 comment="Pr2Sn2Ir (GGA-PBE, relaxed)" crystal_system=monoclinic e_tot_ev_per_atom=-6.043 magnetic_moment_mub_per_cell=0.01 pbc="T T T"
Pr -0.846 0.000 1.712
Pr 7.222 0.000 8.374
Pr -0.974 0.000 6.322
Pr 7.351 0.000 3.765
Sn -0.886 0.000 9.594
Sn 2.341 0.000 6.247
Sn 4.035 0.000 3.839
Sn 7.262 0.000 0.492
Ir 2.270 0.000 1.727
Ir 4.107 0.000 8.360


No. 3
16
Lattice="-2.322 4.846 8.669 2.322 -4.846 8.669 2.322 4.846 -8.669" Properties=species:S:1:pos:R:3 comment="PrSn2Ir (GGA-PBE, relaxed)" crystal_system=orthorhombic e_tot_ev_per_atom=-6.082 magnetic_moment_mub_per_cell=0.00 pbc="T T T"
Pr 0.000 0.000 3.592
Pr 0.000 2.272 0.000
Pr 0.000 7.420 0.000
Pr 0.000 0.000 13.746
Sn 2.322 0.000 1.398
Sn 2.322 -1.552 5.209
Sn 0.000 0.000 7.222
Sn 2.322 1.552 5.209
Sn 0.000 3.295 3.460
Sn 0.000 0.000 10.116
Sn 0.000 6.398 3.460
Sn 0.000 4.846 7.271
Ir 2.322 2.410 -2.528
Ir 2.322 2.410 2.528
Ir 0.000 2.436 6.141
Ir 0.000 2.436 11.197


No. 4
3
Lattice="0.000 3.568 3.568 3.568 0.000 3.568 3.568 3.568 0.000" Properties=species:S:1:pos:R:3 comment="SrPrIr (GGA-PBE, relaxed)" crystal_system=cubic e_tot_ev_per_atom=-5.419 relative_energy_mev_per_atom=0 magnetic_moment_mub_per_cell=0.00 pbc="T T T"
Sr 0.000 0.000 0.000
Pr 3.568 3.568 3.568
Ir 1.784 1.784 1.784


No. 5
10
Lattice="-3.025 3.025 7.292 3.025 -3.025 7.292 3.025 3.025 -7.292" Properties=species:S:1:pos:R:3 comment="Sr2PrIr2 (GGA-PBE, relaxed)" crystal_system=tetragonal e_tot_ev_per_atom=-5.247 magnetic_moment_mub_per_cell=0.00 pbc="T T T"
Sr 0.000 0.000 0.000
Sr 1.512 1.512 -3.646
Sr 1.512 -1.512 3.646
Sr 0.000 3.025 0.000
Pr 3.025 1.512 1.823
Pr 0.000 1.512 5.469
Ir 3.025 1.512 -1.006
Ir 0.000 1.512 2.640
Ir 3.025 1.512 4.652
Ir 0.000 1.512 8.299


No. 6
5
Lattice="-2.231 2.231 5.328 2.231 -2.231 5.328 2.231 2.231 -5.328" Properties=species:S:1:pos:R:3 comment="PrTa2Ir2 (GGA-PBE, relaxed)" crystal_system=tetragonal e_tot_ev_per_atom=-9.843 formation_energy_ev_per_atom=-0.605 magnetic_moment_mub_per_cell=0.00 pbc="T T T"
Pr 0.000 0.000 0.000
Ta 2.231 0.000 2.664
Ta 0.000 2.231 2.664
Ir 0.000 0.000 3.982
Ir 0.000 0.000 6.673


No. 7
10
Lattice="0.000 6.859 7.126 2.510 0.000 7.126 2.510 6.859 0.000" Properties=species:S:1:pos:R:3 comment="Pr2TcIr2 (GGA-PBE, relaxed)" crystal_system=orthorhombic e_tot_ev_per_atom=-6.602 formation_energy_ev_per_atom=0.922 magnetic_moment_mub_per_cell=0.04 pbc="T T T"
Pr 0.000 0.000 0.000
Pr 1.255 3.430 0.000
Pr 1.255 0.000 3.563
Pr 0.000 3.430 3.563
Tc 0.627 1.715 1.782
Tc 4.392 12.004 12.471
Ir 1.882 3.887 5.345
Ir 1.882 6.402 5.345
Ir 3.137 7.317 8.908
Ir 3.137 9.832 8.908


No. 8
7
Lattice="-3.120 3.120 3.985 3.120 -3.120 3.985 3.120 3.120 -3.985" Properties=species:S:1:pos:R:3 comment="Pr2TeIr4 (GGA-PBE, relaxed)" crystal_system=tetragonal e_tot_ev_per_atom=-7.064 magnetic_moment_mub_per_cell=0.00 pbc="T T T"
Pr 3.120 0.000 1.993
Pr 0.000 3.120 1.993
Te 0.000 0.000 0.000
Ir 1.819 1.819 0.000
Ir 1.301 -1.301 3.985
Ir -1.301 1.301 3.985
Ir 1.301 1.301 3.985


No. 9
6
Lattice="0.000 3.860 3.860 3.860 0.000 3.860 3.860 3.860 0.000" Properties=species:S:1:pos:R:3 comment="PrThIr4 (GGA-PBE, relaxed)" crystal_system=cubic e_tot_ev_per_atom=-8.684 formation_energy_ev_per_atom=-0.749 magnetic_moment_mub_per_cell=0.00 pbc="T T T"
Pr 0.000 0.000 0.000
Th 5.790 5.790 5.790
Ir 2.894 2.894 2.894
Ir 4.826 4.826 2.894
Ir 4.826 2.894 4.826
Ir 2.894 4.826 4.826


No. 10
3
Lattice="0.000 3.422 3.422 3.422 0.000 3.422 3.422 3.422 0.000" Properties=species:S:1:pos:R:3 comment="PrTlIr (GGA-PBE, relaxed)" crystal_system=cubic e_tot_ev_per_atom=-5.067 magnetic_moment_mub_per_cell=0.01 pbc="T T T"
Pr 0.000 0.000 0.000
Tl 5.132 5.132 5.132
Ir 3.422 3.422 3.422


No. 11
5
Lattice="-2.096 2.928 4.237 2.096 -2.928 4.237 2.096 2.928 -4.237" Properties=species:S:1:pos:R:3 comment="PrTmZnIr2 (GGA-PBE, relaxed)" crystal_system=orthorhombic e_tot_ev_per_atom=-6.354 formation_energy_ev_per_atom=-0.710 magnetic_moment_mub_per_cell=0.01 pbc="T T T"
Pr 0.000 0.000 0.000
Tm 0.000 0.000 5.046
Zn 2.096 0.000 2.561
Ir 2.096 1.357 -1.724
Ir 0.000 1.572 2.513


No. 12
3
Lattice="0.000 3.404 3.404 3.404 0.000 3.404 3.404 3.404 0.000" Properties=species:S:1:pos:R:3 comment="PrUIr (GGA-PBE, relaxed)" crystal_system=cubic e_tot_ev_per_atom=-8.312 relative_energy_mev_per_atom=0 formation_energy_ev_per_atom=-0.004 magnetic_moment_mub_per_cell=3.31 pbc="T T T"
Pr 0.000 0.000 0.000
U 3.404 3.404 3.404
Ir 5.106 5.106 5.106


Copy entry 12 word for word.
3
Lattice="0.000 3.404 3.404 3.404 0.000 3.404 3.404 3.404 0.000" Properties=species:S:1:pos:R:3 comment="PrUIr (GGA-PBE, relaxed)" crystal_system=cubic e_tot_ev_per_atom=-8.312 relative_energy_mev_per_atom=0 formation_energy_ev_per_atom=-0.004 magnetic_moment_mub_per_cell=3.31 pbc="T T T"
Pr 0.000 0.000 0.000
U 3.404 3.404 3.404
Ir 5.106 5.106 5.106